[1]
A relaxed NbZn3P crystal. Source: Alexandria via LeMat-Bulk, functional PBE.

Cell: 4.539 4.539 4.539 Å, 90.00 90.00 90.00°
Site moments in Bohr magnetons follow the coordinates.
Element x y z (fractional)
Zn 0.000 0.500 0.000  0.00
Zn 0.500 0.000 0.000  0.00
Zn 0.000 0.000 0.500  -0.02
Nb 0.500 0.500 0.500  1.26
P 0.000 0.000 0.000  0.07

The value obtained for the total moment is 1.6 μB/f.u. The calculated volume comes out at 93.5 Å³/f.u. The value obtained for the total energy is -3.0268 eV/atom. For the density of states at the Fermi level, the calculation gives 4.4 states/eV per cell. The value obtained for the density is 5.684 g/cm3.



[2]
A relaxed AcPr2CdN crystal. Source: Alexandria via LeMat-Bulk, functional PBE.

Cell: 5.317 5.124 5.124 Å, 90.00 90.00 90.00°
Element x y z (fractional)
Pr 0.000 0.000 0.500
Pr 0.000 0.500 0.000
Cd 0.500 0.500 0.500
Ac 0.500 0.000 0.000
N 0.000 0.000 0.000

The value obtained for the total moment is 0.0 μB/f.u. Its formation energy (no corrections) is -0.62 eV per atom. The calculated volume comes out at 139.6 Å³/f.u. The value obtained for the total energy is -5.2002 eV/atom. For the density of states at the Fermi level, the calculation gives 4.9 states/eV per cell. The value obtained for the density is 7.556 g/cm3.



[3]
A relaxed Y12Ho6In crystal. Source: Alexandria via LeMat-Bulk, functional PBE.

Cell: 8.472 8.472 8.472 Å, 88.70 88.70 88.70°
Element x y z (fractional)
Ho 0.709 0.259 0.096
Ho 0.259 0.096 0.709
Ho 0.096 0.709 0.259
Ho 0.741 0.904 0.291
Ho 0.291 0.741 0.904
Ho 0.904 0.291 0.741
Y 0.566 0.218 0.461
Y 0.013 0.179 0.364
Y 0.821 0.636 0.987
Y 0.461 0.566 0.218
Y 0.539 0.434 0.782
Y 0.364 0.013 0.179
Y 0.179 0.364 0.013
Y 0.987 0.821 0.636
Y 0.434 0.782 0.539
Y 0.218 0.461 0.566
Y 0.782 0.539 0.434
Y 0.636 0.987 0.821
In 0.000 0.000 0.000

The value obtained for the total moment is 0.0 μB/f.u. The calculated volume comes out at 607.7 Å³/f.u. The value obtained for the total energy is -5.6072 eV/atom. For the density of states at the Fermi level, the calculation gives 29.6 states/eV per cell. The value obtained for the density is 5.933 g/cm3.



[4]
A relaxed Ho2Si4Pd3 crystal. Source: Alexandria via LeMat-Bulk, functional PBE.

Cell: 5.616 7.287 7.936 Å, 90.00 110.72 90.00°
Element x y z (fractional)
Pd 0.978 0.250 0.457
Pd 0.478 0.250 0.457
Pd 0.000 0.000 0.000
Pd 0.500 0.500 0.000
Pd 0.522 0.750 0.543
Pd 0.022 0.750 0.543
Ho 0.395 0.094 0.790
Ho 0.105 0.594 0.210
Ho 0.895 0.406 0.790
Ho 0.605 0.906 0.210
Si 0.322 0.477 0.645
Si 0.313 0.250 0.125
Si 0.187 0.750 0.875
Si 0.813 0.250 0.125
Si 0.822 0.023 0.645
Si 0.678 0.523 0.355
Si 0.178 0.977 0.355
Si 0.687 0.750 0.875

The value obtained for the total moment is 0.0 μB/f.u. Its formation energy (no corrections) is -0.79 eV per atom. The calculated volume comes out at 151.9 Å³/f.u. The value obtained for the total energy is -5.9533 eV/atom. For the density of states at the Fermi level, the calculation gives 7.5 states/eV per cell. The value obtained for the density is 8.325 g/cm3.



[5]
A relaxed GdDyV4 crystal. Source: Alexandria via LeMat-Bulk, functional PBE.

Cell: 5.392 5.392 5.392 Å, 60.00 60.00 60.00°
Site moments in Bohr magnetons follow the coordinates.
Element x y z (fractional)
V 0.620 0.620 0.139  0.12
V 0.620 0.620 0.620  0.12
V 0.620 0.139 0.620  0.12
V 0.139 0.620 0.620  0.12
Dy 0.250 0.250 0.250  0.09
Gd 0.000 0.000 0.000  7.19

The value obtained for the total moment is 8.2 μB/f.u. The calculated volume comes out at 110.9 Å³/f.u. The value obtained for the total energy is -8.8213 eV/atom. For the density of states at the Fermi level, the calculation gives 12.4 states/eV per cell. The value obtained for the density is 7.842 g/cm3.



[6]
A relaxed Li2GdHo crystal. Source: Alexandria via LeMat-Bulk, functional PBE.

Cell: 3.713 5.241 5.241 Å, 90.00 90.00 90.00°
Site moments in Bohr magnetons follow the coordinates.
Element x y z (fractional)
Gd 0.500 0.000 0.000  7.30
Li 0.000 0.000 0.500  0.01
Li 0.000 0.500 0.000  0.01
Ho 0.500 0.500 0.500  0.01

The value obtained for the total moment is 7.7 μB/f.u. The calculated volume comes out at 102.0 Å³/f.u. The value obtained for the total energy is -5.4811 eV/atom. For the density of states at the Fermi level, the calculation gives 4.7 states/eV per cell. The value obtained for the density is 5.472 g/cm3.



[7]
A relaxed Ca2Sb3H2Pd5 crystal. Source: Alexandria via LeMat-Bulk, functional PBE.

Cell: 4.329 4.329 11.742 Å, 100.62 100.62 90.00°
Element x y z (fractional)
H 0.422 0.422 0.843
H 0.578 0.578 0.157
Ca 0.309 0.309 0.618
Ca 0.691 0.691 0.382
Sb 0.835 0.835 0.670
Sb 0.000 0.000 0.000
Sb 0.165 0.165 0.330
Pd 0.586 0.086 0.172
Pd 0.414 0.914 0.828
Pd 0.914 0.414 0.828
Pd 0.500 0.500 0.000
Pd 0.086 0.586 0.172

The value obtained for the total moment is 0.0 μB/f.u. The calculated volume comes out at 212.5 Å³/f.u. The value obtained for the total energy is -4.5956 eV/atom. For the density of states at the Fermi level, the calculation gives 6.1 states/eV per cell. The value obtained for the density is 7.655 g/cm3.



[8]
A relaxed NdTm2ThSc crystal. Source: Alexandria via LeMat-Bulk, functional PBE.

Cell: 4.987 7.786 7.831 Å, 90.67 90.00 90.00°
Element x y z (fractional)
Nd 0.750 0.249 0.746
Nd 0.250 0.751 0.254
Tm 0.750 0.841 0.554
Tm 0.750 0.653 0.950
Tm 0.250 0.159 0.446
Tm 0.250 0.347 0.050
Th 0.750 0.054 0.150
Th 0.250 0.946 0.850
Sc 0.250 0.551 0.651
Sc 0.750 0.449 0.349

The value obtained for the total moment is 0.0 μB/f.u. The calculated volume comes out at 152.0 Å³/f.u. The value obtained for the total energy is -5.4384 eV/atom. For the density of states at the Fermi level, the calculation gives 14.7 states/eV per cell. The value obtained for the density is 8.292 g/cm3.



[9]
A relaxed Ni3BiS crystal. Source: Alexandria via LeMat-Bulk, functional PBE.

Cell: 4.294 4.294 4.294 Å, 90.00 90.00 90.00°
Element x y z (fractional)
Ni 0.000 0.000 0.500
Ni 0.500 0.000 0.000
Ni 0.000 0.500 0.000
Bi 0.500 0.500 0.500
S 0.000 0.000 0.000

The value obtained for the total moment is 0.0 μB/f.u. Its formation energy (no corrections) is 0.03 eV per atom. The calculated volume comes out at 79.2 Å³/f.u. The value obtained for the total energy is -5.0397 eV/atom. For the density of states at the Fermi level, the calculation gives 4.4 states/eV per cell. The value obtained for the density is 8.750 g/cm3.



[10]
A relaxed Li3Ac2GeO6 crystal. Source: Alexandria via LeMat-Bulk, functional PBE.

Cell: 6.386 6.386 5.242 Å, 98.24 98.24 125.37°
Element x y z (fractional)
O 0.335 0.068 0.242
O 0.246 0.246 0.768
O 0.665 0.932 0.758
O 0.932 0.665 0.758
O 0.068 0.335 0.242
O 0.754 0.754 0.232
Li 0.897 0.103 0.500
Li 0.103 0.897 0.500
Li 0.500 0.500 0.500
Ac 0.331 0.669 0.000
Ac 0.669 0.331 0.000
Ge 0.000 0.000 0.000

The value obtained for the total moment is 0.0 μB/f.u. Its formation energy (no corrections) is -2.16 eV per atom. The calculated volume comes out at 165.6 Å³/f.u. The value obtained for the total energy is -6.1828 eV/atom. For the density of states at the Fermi level, the calculation gives 2.9 states/eV per cell. The value obtained for the density is 6.452 g/cm3.



[11]
A relaxed RuRh2W crystal. Source: Alexandria via LeMat-Bulk, functional PBE.

Cell: 9.058 9.058 9.058 Å, 17.51 17.51 17.51°
Element x y z (fractional)
Rh 0.001 0.001 0.001
Rh 0.249 0.249 0.249
W 0.749 0.749 0.749
Ru 0.501 0.501 0.501

The value obtained for the total moment is 0.0 μB/f.u. The calculated volume comes out at 58.7 Å³/f.u. The value obtained for the total energy is -9.1908 eV/atom. For the density of states at the Fermi level, the calculation gives 5.3 states/eV per cell. The value obtained for the density is 13.881 g/cm3.



[12]
A relaxed SrGa2Ge crystal. Source: Alexandria via LeMat-Bulk, functional PBE.

Cell: 4.420 5.027 5.027 Å, 95.31 90.00 90.00°
Element x y z (fractional)
Ge 0.500 0.378 0.622
Ga 0.500 0.513 0.120
Ga 0.500 0.880 0.487
Sr 0.000 0.009 0.991

The value obtained for the total moment is 0.0 μB/f.u. The calculated volume comes out at 111.2 Å³/f.u. The value obtained for the total energy is -3.2059 eV/atom. For the density of states at the Fermi level, the calculation gives 2.2 states/eV per cell. The value obtained for the density is 4.476 g/cm3.